Entry 1:
Here is ZrScVOs2 after structural relaxation from the Alexandria database. Energies are from PBE-GGA.

a b c (Å): 4.6170 4.6730 4.6170
angles (deg): 90.00 90.00 90.00
Last column: nearest neighbours and their distance in Å.
Atoms (fractional coordinates):
Sc 0.0000 0.0000 0.0000  4 Os 2.31, 2 Zr 2.34
Zr 0.0000 0.5000 0.0000  2 Sc 2.34
V 0.5000 0.5000 0.5000  4 Zr 3.26, 8 Os 3.28
Os 0.5000 0.0000 0.0000  2 Sc 2.31
Os 0.0000 0.0000 0.5000  2 Sc 2.31

formation energy: 1822 meV per atom
DOS at the Fermi energy: 7.455 states/eV/f.u.
E: -37.348 eV per formula unit
magnetic moment: 0.0 μB per formula unit

=====

Entry 2:
Here is La2Nd3Ho4 after structural relaxation from the Alexandria database. Energies are from PBE-GGA.

a b c (Å): 5.8300 8.9492 6.5305
angles (deg): 106.38 90.00 109.01
Last column: nearest neighbours and their distance in Å.
Atoms (fractional coordinates):
Nd 0.0000 0.0000 0.0000  6 Ho 3.66-3.70, 4 Nd 3.79-3.92, 4 La 3.90
Nd 0.1268 0.2537 0.5858  3 Ho 3.38-3.52, 3 La 3.53-3.76, 1 Nd 3.79
Nd 0.8732 0.7463 0.4142  3 Ho 3.38-3.52, 3 La 3.53-3.76, 1 Nd 3.79
Ho 0.2285 0.4571 0.1410  3 Ho 3.36-3.64, 2 Nd 3.52-3.70, 3 La 3.54-3.68
La 0.6418 0.2836 0.2949  6 Ho 3.40-3.68, 3 Nd 3.53-3.76
La 0.3582 0.7164 0.7051  6 Ho 3.40-3.68, 3 Nd 3.53-3.76
Ho 0.4356 0.8713 0.2492  2 Ho 3.35-3.36, 4 Nd 3.38-3.66, 3 La 3.40-3.59
Ho 0.5644 0.1287 0.7508  2 Ho 3.35-3.36, 4 Nd 3.38-3.66, 3 La 3.40-3.59
Ho 0.7715 0.5429 0.8590  3 Ho 3.36-3.64, 2 Nd 3.52-3.70, 3 La 3.54-3.68

formation energy: 98 meV per atom
DOS at the Fermi energy: 14.237 states/eV/f.u.
E: -41.590 eV per formula unit
magnetic moment: 0.0 μB per formula unit

=====

Entry 3:
Here is LiY2Mg after structural relaxation from the Alexandria database. Energies are from PBE-GGA.

a b c (Å): 3.4029 3.4029 11.2588
angles (deg): 81.31 81.31 60.00
Last column: nearest neighbours and their distance in Å.
Atoms (fractional coordinates):
Mg 0.5000 0.5000 0.4999  6 Mg 3.40, 6 Y 3.42
Li 0.6668 0.6668 0.9997  6 Y 3.37-3.38, 6 Li 3.40
Y 0.2508 0.2508 0.2477  3 Li 3.38, 6 Y 3.40, 3 Mg 3.42
Y 0.0825 0.0825 0.7526  3 Li 3.37, 6 Y 3.40, 3 Mg 3.42

formation energy: 127 meV per atom
DOS at the Fermi energy: 4.248 states/eV/f.u.
E: -15.931 eV per formula unit
magnetic moment: 0.0 μB per formula unit